[1]
Cd2Bi2Br | PBE | relaxed

The calculation puts the raw total energy at -2.26 eV per atom. The calculation puts the distance to the lowest polymorph of the same formula at 19 meV per atom. As for the uncorrected formation energy: -0.0028 eV/atom.

The space group is P4/mbm (No. 127) and the conventional cell measures 8.899, 8.899 and 3.706 Å, with angles of 90.00, 90.00 and 90.00 degrees. The asymmetric unit holds Cd at (0.119, 0.381, 0.000), Bi at (0.185, 0.685, 0.500) and Br at (0.000, 0.000, 0.500).

---

[2]
DyHo3Th4Se8 | PBE | relaxed

The calculation puts the raw total energy at -6.38 eV per atom. As for the uncorrected formation energy: -1.6371 eV/atom.

The space group is R-3m (No. 166, hexagonal axes) and the conventional cell measures 8.0505, 8.0505 and 21.3228 Å, with angles of 90.00, 90.00 and 120.00 degrees. The asymmetric unit holds Dy at (0.0000, 0.0000, 0.0000), Ho at (0.0000, 0.5000, 0.0000), Th at (0.0000, 0.0000, 0.5000), Th at (0.0000, 0.5000, 0.5000), Se at (0.0000, 0.0000, 0.2560) and Se at (0.0010, 0.5005, 0.2558).

---

[3]
SrTbAl2Ga2 | PBE | relaxed

The calculation puts the raw total energy at -3.78 eV per atom. The calculation puts the calculated formation energy at -0.467 eV per atom.

The space group is P-3m1 (No. 164) and the conventional cell measures 4.4151, 4.4151 and 8.4758 Å, with angles of 90.00, 90.00 and 120.00 degrees. The asymmetric unit holds Sr at (0.0000, 0.0000, 0.0000), Tb at (0.0000, 0.0000, 0.5000), Al at (0.3333, 0.6667, 0.2796) and Ga at (0.3333, 0.6667, 0.7164).

---

[4]
Y2Zn17 | PBE | relaxed

The calculation puts the raw total energy at -2.05 eV per atom. The calculation puts the calculated formation energy at -0.234 eV per atom. The calculation puts the distance to the lowest polymorph of the same formula at 3 meV per atom.

The space group is P6_3/mmc (No. 194) and the conventional cell measures 8.9694, 8.9694 and 8.7803 Å, with angles of 90.00, 90.00 and 120.00 degrees. The asymmetric unit holds Y at (0.0000, 0.0000, 0.2500), Y at (0.3333, 0.6667, 0.2500), Zn at (0.0000, 0.5000, 0.0000), Zn at (0.0383, 0.3674, 0.7500), Zn at (0.1617, 0.3235, 0.0213) and Zn at (0.3333, 0.6667, 0.6005).